# 1
Here is an optimized crystal structure of KGe3Pd6 from Alexandria. Energies are from GGA-PBE.

```
data_KGe3Pd6
_cell_length_a 3.073
_cell_length_b 10.336
_cell_length_c 11.823
_cell_angle_alpha 99.08
_cell_angle_beta 90.00
_cell_angle_gamma 90.00
_symmetry_space_group_name_H-M 'P 1'
_symmetry_Int_Tables_number 1
_symmetry_space_group_name_Hall 'P 1'
loop_
_atom_site_label
_atom_site_fract_x
_atom_site_fract_y
_atom_site_fract_z
Pd1 0.250 0.549 0.919
Ge1 0.250 0.296 0.445
Pd2 0.750 0.113 0.487
Ge2 0.250 0.596 0.212
Pd3 0.250 0.326 0.237
Pd4 0.250 0.270 0.915
Ge3 0.750 0.404 0.788
Pd5 0.750 0.451 0.081
Ge4 0.750 0.704 0.555
Pd6 0.750 0.730 0.085
Ge5 0.250 0.792 0.926
Pd7 0.750 0.674 0.763
K1 0.750 0.003 0.766
Pd8 0.750 0.453 0.584
Pd9 0.250 0.887 0.513
Pd10 0.250 0.547 0.416
Pd11 0.250 0.250 0.665
K2 0.250 0.997 0.234
Ge6 0.750 0.208 0.074
Pd12 0.750 0.750 0.335
```

calculated volume	185.42	Å³/f.u.
ρ	8.0	Mg/m³
uncorrected energy	-4.923	eV per atom



# 2
Here is an optimized crystal structure of K2GePd from Alexandria. Energies are from GGA-PBE.

```
data_K2GePd
_cell_length_a 12.518
_cell_length_b 12.518
_cell_length_c 9.161
_cell_angle_alpha 46.90
_cell_angle_beta 46.90
_cell_angle_gamma 90.00
_symmetry_space_group_name_H-M 'P 1'
_symmetry_Int_Tables_number 1
_symmetry_space_group_name_Hall 'P 1'
loop_
_atom_site_label
_atom_site_fract_x
_atom_site_fract_y
_atom_site_fract_z
K1 0.375 0.160 0.750
K2 0.910 0.625 0.250
K3 0.875 0.090 0.750
Ge1 0.250 0.750 0.500
Ge2 0.500 0.500 0.000
Pd1 0.750 0.250 0.500
K4 0.840 0.125 0.250
Pd2 0.000 0.000 0.000
```

calculated volume	184.89	Å³/f.u.
ρ	2.3	Mg/m³
uncorrected energy	-3.099	eV per atom



# 3
Here is an optimized crystal structure of K3Ge8Pd3 from Alexandria. Energies are from GGA-PBE.

```
data_K3Ge8Pd3
_cell_length_a 4.561
_cell_length_b 8.433
_cell_length_c 8.433
_cell_angle_alpha 73.58
_cell_angle_beta 74.31
_cell_angle_gamma 74.31
_symmetry_space_group_name_H-M 'P 1'
_symmetry_Int_Tables_number 1
_symmetry_space_group_name_Hall 'P 1'
loop_
_atom_site_label
_atom_site_fract_x
_atom_site_fract_y
_atom_site_fract_z
Pd1 0.500 0.000 0.000
Ge1 0.626 0.084 0.664
Ge2 0.374 0.336 0.916
K1 0.188 0.812 0.812
Ge3 0.168 0.194 0.469
Ge4 0.374 0.916 0.336
Ge5 0.626 0.664 0.084
Ge6 0.832 0.531 0.806
Ge7 0.168 0.469 0.194
Pd2 0.000 0.774 0.226
Pd3 0.000 0.226 0.774
K2 0.812 0.188 0.188
K3 0.500 0.500 0.500
Ge8 0.832 0.806 0.531
```

calculated volume	292.82	Å³/f.u.
ρ	5.8	Mg/m³
uncorrected energy	-4.125	eV per atom



# 4
Here is an optimized crystal structure of KGePd3 from Alexandria. Energies are from GGA-PBE.

```
data_KGePd3
_cell_length_a 4.940
_cell_length_b 4.940
_cell_length_c 4.940
_cell_angle_alpha 90.00
_cell_angle_beta 90.00
_cell_angle_gamma 90.00
_symmetry_space_group_name_H-M 'P 1'
_symmetry_Int_Tables_number 1
_symmetry_space_group_name_Hall 'P 1'
loop_
_atom_site_label
_atom_site_fract_x
_atom_site_fract_y
_atom_site_fract_z
Pd1 0.500 0.000 0.000
Pd2 0.000 0.000 0.500
K1 0.000 0.000 0.000
Pd3 0.000 0.500 0.000
Ge1 0.500 0.500 0.500
```

calculated volume	120.57	Å³/f.u.
ρ	5.9	Mg/m³
uncorrected energy	-2.887	eV per atom



# 5
Here is an optimized crystal structure of KGe2Pd4 from Alexandria. Energies are from GGA-PBE.

```
data_KGe2Pd4
_cell_length_a 3.976
_cell_length_b 6.998
_cell_length_c 19.536
_cell_angle_alpha 90.00
_cell_angle_beta 90.00
_cell_angle_gamma 90.00
_symmetry_space_group_name_H-M 'P 1'
_symmetry_Int_Tables_number 1
_symmetry_space_group_name_Hall 'P 1'
loop_
_atom_site_label
_atom_site_fract_x
_atom_site_fract_y
_atom_site_fract_z
Pd1 0.750 0.760 0.755
K1 0.250 0.979 0.363
K2 0.750 0.479 0.137
Pd2 0.250 0.604 0.660
Pd3 0.250 0.240 0.245
Pd4 0.250 0.998 0.941
Pd5 0.250 0.896 0.160
K3 0.750 0.021 0.637
Pd6 0.750 0.634 0.983
Ge1 0.750 0.234 0.960
Pd7 0.250 0.366 0.017
Ge2 0.250 0.766 0.040
Ge3 0.250 0.567 0.299
Pd8 0.750 0.396 0.340
Ge4 0.250 0.933 0.799
Ge5 0.250 0.734 0.540
Pd9 0.750 0.498 0.559
Pd10 0.250 0.134 0.517
Ge6 0.750 0.067 0.201
Pd11 0.250 0.260 0.745
Pd12 0.750 0.104 0.840
Pd13 0.750 0.740 0.255
Pd14 0.750 0.002 0.059
Pd15 0.250 0.502 0.441
Ge7 0.750 0.266 0.460
K4 0.250 0.521 0.863
Pd16 0.750 0.866 0.483
Ge8 0.750 0.433 0.701
```

calculated volume	135.90	Å³/f.u.
ρ	7.5	Mg/m³
uncorrected energy	-4.794	eV per atom



# 6
Here is an optimized crystal structure of KGe4Pd4 from Alexandria. Energies are from GGA-PBE.

```
data_KGe4Pd4
_cell_length_a 4.822
_cell_length_b 8.752
_cell_length_c 8.752
_cell_angle_alpha 90.00
_cell_angle_beta 90.00
_cell_angle_gamma 90.00
_symmetry_space_group_name_H-M 'P 1'
_symmetry_Int_Tables_number 1
_symmetry_space_group_name_Hall 'P 1'
loop_
_atom_site_label
_atom_site_fract_x
_atom_site_fract_y
_atom_site_fract_z
Pd1 0.000 0.886 0.385
Ge1 0.500 0.166 0.692
Pd2 0.500 0.614 0.115
Ge2 0.500 0.834 0.308
Pd3 0.500 0.386 0.885
Ge3 0.000 0.666 0.192
Ge4 0.500 0.308 0.166
Pd4 0.000 0.114 0.615
Ge5 0.000 0.808 0.666
K1 0.500 0.500 0.500
K2 0.000 0.000 0.000
Pd5 0.500 0.885 0.614
Pd6 0.000 0.385 0.114
Ge6 0.000 0.192 0.334
Pd7 0.000 0.615 0.886
Ge7 0.500 0.692 0.834
Ge8 0.000 0.334 0.808
Pd8 0.500 0.115 0.386
```

calculated volume	184.68	Å³/f.u.
ρ	6.8	Mg/m³
uncorrected energy	-4.852	eV per atom



# 7
Here is an optimized crystal structure of KGe2Pd3 from Alexandria. Energies are from GGA-PBE.

```
data_KGe2Pd3
_cell_length_a 4.093
_cell_length_b 8.724
_cell_length_c 10.437
_cell_angle_alpha 106.93
_cell_angle_beta 90.00
_cell_angle_gamma 103.57
_symmetry_space_group_name_H-M 'P 1'
_symmetry_Int_Tables_number 1
_symmetry_space_group_name_Hall 'P 1'
loop_
_atom_site_label
_atom_site_fract_x
_atom_site_fract_y
_atom_site_fract_z
Pd1 0.958 0.917 0.665
Pd2 0.500 0.000 0.500
Ge1 0.806 0.611 0.877
Pd3 0.042 0.083 0.335
Pd4 0.784 0.567 0.603
Pd5 0.628 0.256 0.207
K1 0.840 0.681 0.299
Ge2 0.361 0.723 0.551
Pd6 0.372 0.744 0.793
Ge3 0.533 0.066 0.776
Ge4 0.194 0.389 0.123
K2 0.000 0.000 0.000
Pd7 0.216 0.433 0.397
Pd8 0.321 0.643 0.032
Ge5 0.467 0.934 0.224
Pd9 0.679 0.357 0.968
K3 0.160 0.319 0.701
Ge6 0.639 0.277 0.449
```

calculated volume	115.20	Å³/f.u.
ρ	7.3	Mg/m³
uncorrected energy	-4.687	eV per atom



# 8
Here is an optimized crystal structure of KGe4Pd6 from Alexandria. Energies are from GGA-PBE.

```
data_KGe4Pd6
_cell_length_a 3.979
_cell_length_b 7.412
_cell_length_c 7.412
_cell_angle_alpha 120.00
_cell_angle_beta 90.00
_cell_angle_gamma 90.00
_symmetry_space_group_name_H-M 'P 1'
_symmetry_Int_Tables_number 1
_symmetry_space_group_name_Hall 'P 1'
loop_
_atom_site_label
_atom_site_fract_x
_atom_site_fract_y
_atom_site_fract_z
Pd1 0.000 0.535 0.465
Pd2 0.000 0.930 0.465
Ge1 0.500 0.805 0.610
Pd3 0.500 0.203 0.406
Ge2 0.000 0.333 0.667
K1 0.000 0.000 0.000
Pd4 0.500 0.594 0.797
Ge3 0.500 0.805 0.195
Pd5 0.000 0.535 0.070
Pd6 0.500 0.203 0.797
Ge4 0.500 0.390 0.195
```

calculated volume	189.33	Å³/f.u.
ρ	8.5	Mg/m³
uncorrected energy	-5.080	eV per atom



# 9
Here is an optimized crystal structure of K2Ge5Pd3 from Alexandria. Energies are from GGA-PBE.

```
data_K2Ge5Pd3
_cell_length_a 6.188
_cell_length_b 8.836
_cell_length_c 8.836
_cell_angle_alpha 73.22
_cell_angle_beta 69.50
_cell_angle_gamma 69.50
_symmetry_space_group_name_H-M 'P 1'
_symmetry_Int_Tables_number 1
_symmetry_space_group_name_Hall 'P 1'
loop_
_atom_site_label
_atom_site_fract_x
_atom_site_fract_y
_atom_site_fract_z
Ge1 0.983 0.767 0.767
K1 0.870 0.391 0.869
Pd1 0.632 0.478 0.257
Pd2 0.868 0.743 0.522
Pd3 0.132 0.257 0.478
Ge2 0.483 0.767 0.767
Pd4 0.368 0.522 0.743
Ge3 0.612 0.745 0.032
K2 0.370 0.869 0.391
K3 0.630 0.131 0.609
Pd5 0.250 0.000 0.000
Ge4 0.250 0.500 0.500
Ge5 0.888 0.968 0.255
K4 0.130 0.609 0.131
Ge6 0.017 0.233 0.233
Ge7 0.750 0.500 0.500
Ge8 0.112 0.032 0.745
Pd6 0.750 0.000 0.000
Ge9 0.517 0.233 0.233
Ge10 0.388 0.255 0.968
```

calculated volume	208.09	Å³/f.u.
ρ	6.1	Mg/m³
uncorrected energy	-4.373	eV per atom